A crystal of AlGe2AsI relaxed with PBEsol, computed with meta-GGA SCAN.

Summary:
Formation energy (no corrections) = 0.834 eV per atom
Symmetry = P4/mmm, No. 123

Lattice parameters (Å, degrees): 4.861 4.861 5.269 90.00 90.00 90.00
Fractional positions:
I: 0.000 0.000 0.500
Al: 0.000 0.000 0.000
Ge: 0.000 0.500 0.000
Ge: 0.500 0.000 0.000
As: 0.500 0.500 0.500